# 1
Ba6AuI5 | GGA-PBE | relaxed

Its crystal system is monoclinic. The energy is -37.21 eV/f.u. The formation energy from raw total energies comes out at -117.7 kJ/mol of atoms. As for the space group: No. 12. The value obtained for the spin magnetization is 0.49 μB/cell.

Cell lengths 8.7592, 8.7592, 8.4910 Å; angles 99.73, 99.73, 119.18 degrees
Closest atoms and distances in Å follow each position.
Sites, in units of the cell vectors:
1 Ba 0.0746 0.3786 0.7291  1 Au 3.24, 4 I 3.57-3.61
2 Ba 0.2212 0.2212 0.2510  1 Au 3.33, 4 I 3.63-3.70
3 Ba 0.3786 0.0746 0.7291  1 Au 3.24, 4 I 3.57-3.61
4 Ba 0.6214 0.9254 0.2709  1 Au 3.24, 4 I 3.57-3.61
5 Ba 0.7788 0.7788 0.7490  1 Au 3.33, 4 I 3.63-3.70
6 Ba 0.9254 0.6214 0.2709  1 Au 3.24, 4 I 3.57-3.61
7 Au 0.0000 0.0000 0.5000  6 Ba 3.24-3.33
8 I 0.1886 0.8114 0.0000  6 Ba 3.57-3.70
9 I 0.3370 0.6630 0.5000  6 Ba 3.58-3.63
10 I 0.5000 0.5000 0.0000  6 Ba 3.57-3.77
11 I 0.6630 0.3370 0.5000  6 Ba 3.58-3.63
12 I 0.8114 0.1886 0.0000  6 Ba 3.57-3.70

# 2
LiZrI2O | GGA-PBE | relaxed

Its crystal system is tetragonal. The energy is -24.90 eV/f.u. The energy above the most stable polymorph in this dataset comes out at 0.0 meV per atom. The formation energy from raw total energies comes out at -123.1 kJ/mol of atoms. As for the space group: No. 123. The value obtained for the spin magnetization is 0.92 μB/cell.

Cell lengths 5.9862, 5.9862, 4.0523 Å; angles 90.00, 90.00, 90.00 degrees
Closest atoms and distances in Å follow each position.
Sites, in units of the cell vectors:
1 Li 0.0000 0.0000 0.0000  8 I 3.61
2 Zr 0.5000 0.5000 0.5000  2 O 2.03
3 I 0.0000 0.5000 0.5000  2 Zr 2.99
4 I 0.5000 0.0000 0.5000  2 Zr 2.99
5 O 0.5000 0.5000 0.0000  2 Zr 2.03

# 3
SmY2Pu | GGA-PBE | relaxed

Its crystal system is tetragonal. The energy is -31.54 eV/f.u. The energy above the most stable polymorph in this dataset comes out at 2.7 meV per atom. As for the space group: No. 123. The calculation puts the energy relative to the elements at 0.11 eV/atom. The value obtained for the spin magnetization is 6.48 μB/cell.

Cell lengths 3.5340, 3.5340, 10.0909 Å; angles 90.00, 90.00, 90.00 degrees
Closest atoms and distances in Å follow each position.
Sites, in units of the cell vectors:
1 Sm 0.0000 0.0000 0.0000  4 Sm 3.53, 8 Y 3.61
2 Y 0.5000 0.5000 0.2580  4 Pu 3.49, 4 Y 3.53, 4 Sm 3.61
3 Y 0.5000 0.5000 0.7420  4 Pu 3.49, 4 Y 3.53, 4 Sm 3.61
4 Pu 0.0000 0.0000 0.5000  8 Y 3.49, 4 Pu 3.53

# 4
PrBiS2 | GGA-PBE | relaxed

Its crystal system is trigonal. The energy is -21.55 eV/f.u. The formation energy from raw total energies comes out at -111.7 kJ/mol of atoms. As for the space group: No. 166. The value obtained for the spin magnetization is 0.00 μB/cell.

Cell lengths 9.0286, 9.0286, 9.0286 Å; angles 26.22, 26.22, 26.22 degrees
Closest atoms and distances in Å follow each position.
Sites, in units of the cell vectors:
1 Pr 0.0000 0.0000 0.0000  6 S 2.84
2 Bi 0.5000 0.5000 0.5000  2 S 2.79
3 S 0.3933 0.3933 0.3933  1 Bi 2.79, 3 Pr 2.84
4 S 0.6067 0.6067 0.6067  1 Bi 2.79, 3 Pr 2.84

# 5
BaIrC2 | GGA-PBE | relaxed

Its crystal system is cubic. The energy is -21.17 eV/f.u. The energy above the most stable polymorph in this dataset comes out at 1524.2 meV per atom. As for the space group: No. 225. The calculation puts the energy relative to the elements at 2.02 eV/atom. The value obtained for the spin magnetization is 0.00 μB/cell.

Cell lengths 4.3993, 4.3993, 4.3993 Å; angles 60.00, 60.00, 60.00 degrees
Closest atoms and distances in Å follow each position.
Sites, in units of the cell vectors:
1 Ba 0.0000 0.0000 0.0000  8 C 2.69
2 Ir 0.5000 0.5000 0.5000  8 C 2.69
3 C 0.2500 0.2500 0.2500  4 Ba 2.69, 4 Ir 2.69
4 C 0.7500 0.7500 0.7500  4 Ba 2.69, 4 Ir 2.69

# 6
Dy4FeGe8 | GGA-PBE | relaxed

Its crystal system is orthorhombic. The energy is -71.50 eV/f.u. As for the space group: No. 25. The calculation puts the energy relative to the elements at -0.59 eV/atom. The value obtained for the spin magnetization is 1.13 μB/cell.

Cell lengths 4.0147, 4.1454, 15.8982 Å; angles 90.00, 90.00, 90.00 degrees
Closest atoms and distances in Å follow each position.
Sites, in units of the cell vectors:
1 Dy 0.0000 0.0000 0.0000  10 Ge 2.97-3.16
2 Dy 0.0000 0.5000 0.4946  10 Ge 2.97-3.24, 1 Fe 3.32
3 Dy 0.5000 0.0000 0.7911  10 Ge 3.03-3.33, 4 Fe 3.21
4 Dy 0.5000 0.5000 0.2906  10 Ge 2.98-3.23
5 Fe 0.0000 0.5000 0.7033  5 Ge 2.30-2.35
6 Ge 0.0000 0.0000 0.3383  2 Ge 2.64
7 Ge 0.0000 0.0000 0.6343  2 Fe 2.35
8 Ge 0.0000 0.5000 0.1432  4 Ge 2.89, 4 Dy 3.08-3.09
9 Ge 0.0000 0.5000 0.8497  1 Fe 2.33
10 Ge 0.5000 0.0000 0.1475  4 Ge 2.89, 4 Dy 3.08-3.09
11 Ge 0.5000 0.0000 0.4467  2 Ge 2.64
12 Ge 0.5000 0.5000 0.6321  2 Fe 2.30
13 Ge 0.5000 0.5000 0.9552  2 Ge 2.61